A geometry-optimized SrNbPPd2 structure, computed with GGA-PBE.

- symmetry = P4/mmm, No. 123
- ρ (g/cm3) = 5.13
- DFT formation energy (eV per atom) = 0.983

Unit cell a=4.7878 b=4.7878 c=5.9934 alpha=90.00 beta=90.00 gamma=90.00
Last column: nearest neighbours and their distance in Å.
Atoms (fractional coordinates):
Sr 0.0000 0.0000 0.0000  2 Nb 3.00
Nb 0.0000 0.0000 0.5000  4 Pd 2.39
P 0.5000 0.5000 0.0000  4 Sr 3.39
Pd 0.0000 0.5000 0.5000  2 Nb 2.39
Pd 0.5000 0.0000 0.5000  2 Nb 2.39

=====

A geometry-optimized TaNbPPd2 structure, computed with GGA-PBE.

- symmetry = P4/mmm, No. 123
- ρ (g/cm3) = 9.47
- DFT formation energy (eV per atom) = 0.172

Unit cell a=4.4045 b=4.4045 c=4.6766 alpha=90.00 beta=90.00 gamma=90.00
Last column: nearest neighbours and their distance in Å.
Atoms (fractional coordinates):
Ta 0.0000 0.0000 0.0000  2 P 2.34
Nb 0.5000 0.5000 0.0000  4 Ta 3.11, 8 Pd 3.21
P 0.0000 0.0000 0.5000  4 Pd 2.20, 2 Ta 2.34
Pd 0.0000 0.5000 0.5000  2 P 2.20
Pd 0.5000 0.0000 0.5000  2 P 2.20

=====

A geometry-optimized NbTePPd2 structure, computed with GGA-PBE.

- symmetry = P4/mmm, No. 123
- ρ (g/cm3) = 6.59
- E_form (uncorrected) (eV per atom) = 1.152

Unit cell a=4.7992 b=4.7992 c=5.0794 alpha=90.00 beta=90.00 gamma=90.00
Last column: nearest neighbours and their distance in Å.
Atoms (fractional coordinates):
Nb 0.0000 0.0000 0.0000  4 P 3.39, 8 Pd 3.49
Te 0.5000 0.5000 0.5000  4 Pd 2.40, 2 P 2.54
P 0.5000 0.5000 0.0000  2 Te 2.54
Pd 0.0000 0.5000 0.5000  2 Te 2.40
Pd 0.5000 0.0000 0.5000  2 Te 2.40

=====

A geometry-optimized ZrNb2PPd structure, computed with GGA-PBE.

- symmetry = P4/mmm, No. 123
- ρ (g/cm3) = 6.77
- DFT formation energy (eV per atom) = 0.036

Unit cell a=4.5811 b=4.5811 c=4.8428 alpha=90.00 beta=90.00 gamma=90.00
Last column: nearest neighbours and their distance in Å.
Atoms (fractional coordinates):
Zr 0.0000 0.0000 0.0000  2 P 2.42
Nb 0.0000 0.5000 0.5000  2 P 2.29
Nb 0.5000 0.0000 0.5000  2 P 2.29
P 0.0000 0.0000 0.5000  4 Nb 2.29, 2 Zr 2.42
Pd 0.5000 0.5000 0.0000  4 Zr 3.24, 8 Nb 3.33